1.
Compound: TaMnPt2
Source: Alexandria via LeMat-Bulk
Functional: PBE
Structure: optimized geometry

a b c (Å): 2.8148 2.8148 7.8846
angles (deg): 90.00 90.00 90.00
Last column: nearest neighbours and their distance in Å.
Space group P4mm (No. 99)
Symmetry-distinct sites (fractional):
Ta (0.0000, 0.0000, 0.0000) x1  4 Mn 2.79, 4 Pt 2.81, 4 Ta 2.81
Mn (0.5000, 0.5000, 0.2488) x1  4 Pt 2.69, 4 Ta 2.79, 4 Mn 2.81
Pt (0.0000, 0.0000, 0.4777) x1  4 Mn 2.69, 8 Pt 2.81-2.92
Pt (0.5000, 0.5000, 0.7480) x1  4 Ta 2.81, 8 Pt 2.81-2.92

Its formation energy is -0.295 eV per atom.

***

2.
Compound: Li4Ca5Tl4
Source: Alexandria via LeMat-Bulk
Functional: PBE
Structure: optimized geometry

a b c (Å): 13.2352 13.2352 4.1421
angles (deg): 90.00 90.00 90.00
Last column: nearest neighbours and their distance in Å.
Space group I4/m (No. 87)
Symmetry-distinct sites (fractional):
Li (0.0748, 0.5971, 0.0000) x8  3 Tl 2.90-3.11, 5 Li 3.09-3.24
Ca (0.0000, 0.0000, 0.5000) x2  4 Tl 3.40
Ca (0.1319, 0.2150, 0.0000) x8  5 Tl 3.30-3.37, 2 Li 3.50
Tl (0.0590, 0.7500, 0.5000) x8  3 Li 2.90-3.11

Its formation energy is -0.280 eV per atom.

***

3.
Compound: LaPm2Ho3S6
Source: Alexandria via LeMat-Bulk
Functional: PBE
Structure: optimized geometry

a b c (Å): 6.8354 11.8761 6.9711
angles (deg): 90.00 109.15 90.00
Last column: nearest neighbours and their distance in Å.
Space group C2/m (No. 12)
Symmetry-distinct sites (fractional):
La (0.0000, 0.0000, 0.0000) x2  6 S 2.90
Pm (0.0000, 0.3327, 0.0000) x4  6 S 2.87
Ho (0.0000, 0.1661, 0.5000) x4  6 S 2.73-2.76
Ho (0.0000, 0.5000, 0.5000) x2  6 S 2.73-2.76
S (0.2421, 0.3316, 0.7326) x8  3 Ho 2.73-2.76, 2 Pm 2.87, 1 La 2.90
S (0.2484, 0.0000, 0.7338) x4  3 Ho 2.73-2.76, 2 Pm 2.87, 1 La 2.90

As for the formation energy (no corrections): -196.2 kJ/mol of atoms.

***

| no. | energy (eV per atom) |
| --- | --- |
| 1 | -8.571 |
| 2 | -2.367 |
| 3 | -6.444 |